1.
The following is a DFT calculation (PBE) of Mg2ZrTa after structural relaxation.

Summary:
As for the volume: 82.1 Å³/f.u. The space-group type is C2/m. The formation energy from the elements is 0.24 eV/atom.

a = 5.972 Å, b = 5.513 Å, c = 2.895 Å
α = 79.03°, β = 81.11°, γ = 114.55°
Element x y z (fractional)
Mg: 0.000 0.500 0.500
Mg: 0.000 0.000 0.000
Ta: 0.500 0.500 0.000
Zr: 0.500 0.000 0.500



2.
The following is a DFT calculation (PBE) of ZrAl6Ag after structural relaxation.

Summary:
As for the volume: 139.7 Å³/f.u. The space-group type is Cmmm. The formation energy from the elements is -0.15 eV/atom.

a = 4.070 Å, b = 5.859 Å, c = 5.859 Å
α = 89.93°, β = 90.00°, γ = 90.00°
Element x y z (fractional)
Al: 0.000 0.750 0.250
Al: 0.000 0.250 0.250
Al: 0.500 0.500 0.000
Al: 0.000 0.250 0.750
Al: 0.000 0.750 0.750
Al: 0.500 0.000 0.500
Ag: 0.500 0.500 0.500
Zr: 0.500 0.000 0.000



3.
The following is a DFT calculation (PBE) of Y4ZnHg2 after structural relaxation.

Summary:
As for the volume: 193.0 Å³/f.u. The space-group type is R-3m. The formation energy from the elements is -0.30 eV/atom.

a = 5.160 Å, b = 5.160 Å, c = 8.884 Å
α = 73.12°, β = 73.12°, γ = 60.00°
Element x y z (fractional)
Y: 0.624 0.624 0.127
Y: 0.125 0.125 0.626
Y: 0.376 0.376 0.873
Y: 0.875 0.875 0.374
Hg: 0.751 0.751 0.748
Hg: 0.249 0.249 0.252
Zn: 0.000 0.000 0.000



4.
The following is a DFT calculation (PBE) of Li4Np3ScS8 after structural relaxation.

Summary:
The formation energy (no corrections) comes out at -2241 kJ/mol of formula units. As for the volume: 318.5 Å³/f.u. The space-group type is R-3m.

a = 7.736 Å, b = 7.597 Å, c = 7.736 Å
α = 120.61°, β = 120.00°, γ = 90.00°
Element x y z (fractional)
S: 0.756 0.251 0.995
S: 0.756 0.251 0.512
S: 0.244 0.749 0.488
S: 0.239 0.251 0.995
S: 0.761 0.749 0.005
S: 0.244 0.749 0.005
S: 0.752 0.755 0.503
S: 0.248 0.245 0.497
Np: 0.000 0.500 0.500
Np: 0.500 0.500 0.000
Np: 0.500 0.500 0.500
Li: 0.500 0.000 0.500
Li: 0.000 0.000 0.000
Li: 0.500 0.000 0.000
Li: 0.000 0.000 0.500
Sc: 0.000 0.500 0.000



5.
The following is a DFT calculation (PBE) of Y2CrSnC after structural relaxation.

Summary:
As for the volume: 97.5 Å³/f.u. The space-group type is P4/mmm. The formation energy from the elements is -0.35 eV/atom.

a = 4.987 Å, b = 4.987 Å, c = 3.919 Å
α = 90.00°, β = 90.00°, γ = 90.00°
Element x y z (fractional)
Y: 0.500 0.000 0.000
Y: 0.000 0.500 0.000
C: 0.000 0.000 0.000
Cr: 0.000 0.000 0.500
Sn: 0.500 0.500 0.500



6.
The following is a DFT calculation (PBE) of Cs2RbInCl6 after structural relaxation.

Summary:
The formation energy (no corrections) comes out at -1614 kJ/mol of formula units. As for the volume: 365.6 Å³/f.u. The space-group type is Fm-3m.

a = 8.026 Å, b = 8.026 Å, c = 8.026 Å
α = 60.00°, β = 60.00°, γ = 60.00°
Element x y z (fractional)
Cl: 0.224 0.224 0.776
Cl: 0.776 0.224 0.776
Cl: 0.224 0.776 0.776
Cl: 0.776 0.776 0.224
Cl: 0.224 0.776 0.224
Cl: 0.776 0.224 0.224
Cs: 0.250 0.250 0.250
Cs: 0.750 0.750 0.750
In: 0.000 0.000 0.000
Rb: 0.500 0.500 0.500



7.
The following is a DFT calculation (PBE) of SrZnH8Rh2 after structural relaxation.

Summary:
As for the volume: 116.4 Å³/f.u. The space-group type is R-3. For the total DFT energy (no corrections), the calculation gives -46.7 eV per cell.

a = 4.779 Å, b = 4.779 Å, c = 6.502 Å
α = 68.44°, β = 68.44°, γ = 60.00°
Element x y z (fractional)
Zn: 0.000 0.000 0.000
H: 0.100 0.400 0.861
H: 0.795 0.795 0.614
H: 0.362 0.900 0.139
H: 0.638 0.100 0.861
H: 0.205 0.205 0.386
H: 0.600 0.362 0.139
H: 0.900 0.600 0.139
H: 0.400 0.638 0.861
Rh: 0.699 0.699 0.903
Rh: 0.301 0.301 0.097
Sr: 0.500 0.500 0.500



8.
The following is a DFT calculation (PBE) of CaMgTeO6 after structural relaxation.

Summary:
The formation energy (no corrections) comes out at -1395 kJ/mol of formula units. As for the volume: 123.2 Å³/f.u. The space-group type is P-31c.

a = 5.377 Å, b = 5.377 Å, c = 9.840 Å
α = 90.00°, β = 90.00°, γ = 120.00°
Element x y z (fractional)
Te: 0.667 0.333 0.750
Te: 0.333 0.667 0.250
O: 0.656 0.630 0.642
O: 0.630 0.656 0.142
O: 0.025 0.656 0.358
O: 0.344 0.370 0.358
O: 0.630 0.975 0.358
O: 0.656 0.025 0.858
O: 0.975 0.344 0.642
O: 0.370 0.025 0.642
O: 0.370 0.344 0.858
O: 0.025 0.370 0.142
O: 0.975 0.630 0.858
O: 0.344 0.975 0.142
Ca: 0.000 0.000 0.500
Ca: 0.000 0.000 0.000
Mg: 0.667 0.333 0.250
Mg: 0.333 0.667 0.750